First-principles (PBE) data for CsLiTc2Rh after structural relaxation, as listed in the Alexandria database.

Properties
formation enthalpy at 0 K	6.3	eV per formula unit
total DFT energy (no corrections)	-4.9166	eV per atom

abc: 4.831 5.324 4.831
angles: 90.00 90.00 90.00
Each line ends with the local moment (μB).
Fractional positions:
Cs 0.500 0.500 0.500  0.04
Rh 0.000 0.000 0.000  0.08
Tc 0.000 0.000 0.500  1.75
Tc 0.500 0.000 0.000  1.45
Li 0.000 0.500 0.000  -0.02